(1)
# CrP2W | the Alexandria database | PBE | relaxed
data_CrP2W
_space_group_name_H-M_alt 'P 1'
_space_group_IT_number 1
_cell_length_a 3.978
_cell_length_b 3.978
_cell_length_c 4.999
_cell_angle_alpha 78.88
_cell_angle_beta 78.88
_cell_angle_gamma 42.87
loop_
_space_group_symop_operation_xyz
'x,y,z'
loop_
_atom_site_label
_atom_site_type_symbol
_atom_site_fract_x
_atom_site_fract_y
_atom_site_fract_z
P1 P 0.004 0.004 0.969
P2 P 0.496 0.496 0.531
W1 W 0.250 0.250 0.250
Cr1 Cr 0.750 0.750 0.750
# distance to the lowest polymorph of the same formula = 44.3 kJ per mole of atoms
# M_tot = 0.000 μB/f.u.

***

(2)
# InRe2P2 | the Alexandria database | PBE | relaxed
data_InRe2P2
_space_group_name_H-M_alt 'P 1'
_space_group_IT_number 1
_cell_length_a 3.714
_cell_length_b 3.714
_cell_length_c 6.443
_cell_angle_alpha 73.25
_cell_angle_beta 73.25
_cell_angle_gamma 90.00
loop_
_space_group_symop_operation_xyz
'x,y,z'
loop_
_atom_site_label
_atom_site_type_symbol
_atom_site_fract_x
_atom_site_fract_y
_atom_site_fract_z
P1 P 0.750 0.250 0.500
P2 P 0.250 0.750 0.500
In1 In 0.000 0.000 0.000
Re1 Re 0.623 0.623 0.754
Re2 Re 0.377 0.377 0.246
# M_tot = 0.000 μB/f.u.
# final energy = -7.6425 eV/atom

***

(3)
# LiAcHgPb | the Alexandria database | PBE | relaxed
data_LiAcHgPb
_space_group_name_H-M_alt 'P 1'
_space_group_IT_number 1
_cell_length_a 5.502
_cell_length_b 5.502
_cell_length_c 5.502
_cell_angle_alpha 60.00
_cell_angle_beta 60.00
_cell_angle_gamma 60.00
loop_
_space_group_symop_operation_xyz
'x,y,z'
loop_
_atom_site_label
_atom_site_type_symbol
_atom_site_fract_x
_atom_site_fract_y
_atom_site_fract_z
Pb1 Pb 0.750 0.750 0.750
Li1 Li 0.000 0.000 0.000
Ac1 Ac 0.500 0.500 0.500
Hg1 Hg 0.250 0.250 0.250
# M_tot = 0.000 μB/f.u.
# final energy = -2.9565 eV/atom

***

(4)
# Li6AgAu8 | the Alexandria database | PBE | relaxed
data_Li6AgAu8
_space_group_name_H-M_alt 'P 1'
_space_group_IT_number 1
_cell_length_a 7.111
_cell_length_b 7.111
_cell_length_c 7.111
_cell_angle_alpha 60.42
_cell_angle_beta 60.42
_cell_angle_gamma 60.42
loop_
_space_group_symop_operation_xyz
'x,y,z'
loop_
_atom_site_label
_atom_site_type_symbol
_atom_site_fract_x
_atom_site_fract_y
_atom_site_fract_z
Au1 Au 0.602 0.602 0.602
Au2 Au 0.868 0.347 0.168
Au3 Au 0.398 0.398 0.398
Au4 Au 0.347 0.168 0.868
Au5 Au 0.168 0.868 0.347
Au6 Au 0.132 0.653 0.832
Au7 Au 0.653 0.832 0.132
Au8 Au 0.832 0.132 0.653
Li1 Li 0.714 0.968 0.471
Li2 Li 0.968 0.471 0.714
Li3 Li 0.471 0.714 0.968
Li4 Li 0.286 0.032 0.529
Li5 Li 0.529 0.286 0.032
Li6 Li 0.032 0.529 0.286
Ag1 Ag 0.000 0.000 0.000
# M_tot = 0.000 μB/f.u.
# final energy = -3.0616 eV/atom

***

(5)
# ThFe3Ge3 | the Alexandria database | PBE | relaxed
data_ThFe3Ge3
_space_group_name_H-M_alt 'P 1'
_space_group_IT_number 1
_cell_length_a 4.122
_cell_length_b 8.218
_cell_length_c 8.218
_cell_angle_alpha 120.00
_cell_angle_beta 90.00
_cell_angle_gamma 90.00
loop_
_space_group_symop_operation_xyz
'x,y,z'
loop_
_atom_site_label
_atom_site_type_symbol
_atom_site_fract_x
_atom_site_fract_y
_atom_site_fract_z
Th1 Th 0.250 0.667 0.333
Th2 Th 0.750 0.333 0.667
Fe1 Fe 0.750 0.148 0.952
Fe2 Fe 0.250 0.952 0.804
Fe3 Fe 0.250 0.852 0.048
Fe4 Fe 0.750 0.804 0.852
Fe5 Fe 0.250 0.196 0.148
Fe6 Fe 0.750 0.048 0.196
Ge1 Ge 0.750 0.375 0.291
Ge2 Ge 0.750 0.916 0.625
Ge3 Ge 0.250 0.625 0.709
Ge4 Ge 0.250 0.291 0.916
Ge5 Ge 0.750 0.709 0.084
Ge6 Ge 0.250 0.084 0.375
# distance to the lowest polymorph of the same formula = 0.0 kJ per mole of atoms
# M_tot = 3.281 μB/f.u.

***

(6)
# CoRh3Se | the Alexandria database | PBE | relaxed
data_CoRh3Se
_space_group_name_H-M_alt 'P 1'
_space_group_IT_number 1
_cell_length_a 4.522
_cell_length_b 4.522
_cell_length_c 4.522
_cell_angle_alpha 90.00
_cell_angle_beta 90.00
_cell_angle_gamma 90.00
loop_
_space_group_symop_operation_xyz
'x,y,z'
loop_
_atom_site_label
_atom_site_type_symbol
_atom_site_fract_x
_atom_site_fract_y
_atom_site_fract_z
Co1 Co 0.500 0.500 0.500
Rh1 Rh 0.500 0.000 0.000
Rh2 Rh 0.000 0.500 0.000
Rh3 Rh 0.000 0.000 0.500
Se1 Se 0.000 0.000 0.000
# distance to the lowest polymorph of the same formula = 0.0 kJ per mole of atoms
# raw formation energy = 848.7 meV/atom
# M_tot = 2.622 μB/f.u.

***

(7)
# Tb6Ce2Sm5 | the Alexandria database | PBE | relaxed
data_Tb6Ce2Sm5
_space_group_name_H-M_alt 'P 1'
_space_group_IT_number 1
_cell_length_a 3.572
_cell_length_b 11.491
_cell_length_c 20.907
_cell_angle_alpha 90.00
_cell_angle_beta 90.00
_cell_angle_gamma 90.00
loop_
_space_group_symop_operation_xyz
'x,y,z'
loop_
_atom_site_label
_atom_site_type_symbol
_atom_site_fract_x
_atom_site_fract_y
_atom_site_fract_z
Tb1 Tb 0.000 0.066 0.353
Tb2 Tb 0.000 0.416 0.562
Tb3 Tb 0.000 0.434 0.853
Tb4 Tb 0.500 0.815 0.375
Tb5 Tb 0.000 0.566 0.147
Tb6 Tb 0.500 0.315 0.125
Tb7 Tb 0.500 0.185 0.625
Tb8 Tb 0.500 0.685 0.875
Tb9 Tb 0.000 0.916 0.938
Tb10 Tb 0.000 0.084 0.062
Tb11 Tb 0.000 0.584 0.438
Tb12 Tb 0.000 0.934 0.647
Sm1 Sm 0.500 0.188 0.921
Sm2 Sm 0.500 0.812 0.079
Sm3 Sm 0.500 0.939 0.794
Sm4 Sm 0.500 0.688 0.579
Sm5 Sm 0.500 0.061 0.206
Sm6 Sm 0.500 0.500 0.000
Sm7 Sm 0.500 0.000 0.500
Sm8 Sm 0.500 0.312 0.421
Sm9 Sm 0.500 0.561 0.294
Sm10 Sm 0.500 0.439 0.706
Ce1 Ce 0.000 0.192 0.765
Ce2 Ce 0.000 0.692 0.735
Ce3 Ce 0.000 0.308 0.265
Ce4 Ce 0.000 0.808 0.235
# M_tot = 1.425 μB/f.u.
# final energy = -4.7379 eV/atom

***

(8)
# OsC3Br | the Alexandria database | PBE | relaxed
data_OsC3Br
_space_group_name_H-M_alt 'P 1'
_space_group_IT_number 1
_cell_length_a 3.822
_cell_length_b 3.822
_cell_length_c 3.822
_cell_angle_alpha 90.00
_cell_angle_beta 90.00
_cell_angle_gamma 90.00
loop_
_space_group_symop_operation_xyz
'x,y,z'
loop_
_atom_site_label
_atom_site_type_symbol
_atom_site_fract_x
_atom_site_fract_y
_atom_site_fract_z
C1 C 0.500 0.000 0.000
C2 C 0.000 0.500 0.000
C3 C 0.000 0.000 0.500
Os1 Os 0.500 0.500 0.500
Br1 Br 0.000 0.000 0.000
# distance to the lowest polymorph of the same formula = 177.2 kJ per mole of atoms
# raw formation energy = 3806.6 meV/atom
# M_tot = 0.612 μB/f.u.